DFT (GGA-PBE) results for a relaxed HgTeCl2 crystal.

```
HgTeCl2
1.0
4.4379 0.0000 0.0000
0.0000 3.8194 0.0000
-1.3952 0.0000 8.7548
Hg Te Cl
1 1 2
direct
0.0000 0.0000 0.0000
0.5000 0.0000 0.5000
0.3436 0.5000 0.6793
0.6564 0.5000 0.3207
```

## Properties
space-group type: No. 10
E: -1.99 eV per atom
relative energy among the computed polymorphs: 12.3 kJ per mole of atoms
raw formation energy: -0.2026 eV/atom
total moment: 0.00 μB/f.u.
crystal system: monoclinic

DFT (GGA-PBE) results for a relaxed Fe3HgP crystal.

```
Fe3HgP
1.0
4.2150 0.0000 0.0000
0.0000 4.2150 0.0000
0.0000 0.0000 4.2150
Fe Hg P
3 1 1
direct
0.0000 0.0000 0.5000
0.0000 0.5000 0.0000
0.5000 0.0000 0.0000
0.5000 0.5000 0.5000
0.0000 0.0000 0.0000
```

## Properties
space-group type: No. 221
E: -5.97 eV per atom
relative energy among the computed polymorphs: 0.0 kJ per mole of atoms
formation enthalpy at 0 K: 255 meV per atom
total moment: 5.62 μB/f.u.
crystal system: cubic

DFT (GGA-PBE) results for a relaxed ZnHgW2 crystal.

```
ZnHgW2
1.0
2.7456 0.0000 0.0000
0.0000 4.2540 0.0000
0.0000 0.0000 5.8655
Zn Hg W
1 1 2
direct
0.0000 0.0000 0.0000
0.5000 0.5000 0.2452
0.0000 0.0000 0.5385
0.5000 0.5000 0.7477
```

## Properties
space-group type: No. 25
E: -6.30 eV per atom
relative energy among the computed polymorphs: 19.1 kJ per mole of atoms
formation enthalpy at 0 K: 575 meV per atom
total moment: 0.00 μB/f.u.
crystal system: orthorhombic